# 1
VASP calculation (PBE-GGA) on crystalline V2Ge2P at its relaxed geometry.

a = 6.4033 Å, b = 6.4033 Å, c = 3.6202 Å
α = 90.00°, β = 90.00°, γ = 90.00°
Closest atoms and distances in Å follow each position.
Fractional coordinates of all 10 atoms:
P  0.0000  0.0000  0.0000  4 V 2.40
P  0.5000  0.5000  0.0000  4 V 2.40
Ge  0.1420  0.6420  0.5000  6 V 2.53-2.67, 1 Ge 2.57
Ge  0.6420  0.8580  0.5000  6 V 2.53-2.67, 1 Ge 2.57
Ge  0.8580  0.3580  0.5000  6 V 2.53-2.67, 1 Ge 2.57
Ge  0.3580  0.1420  0.5000  6 V 2.53-2.67, 1 Ge 2.57
V  0.3372  0.8372  0.0000  2 P 2.40, 6 Ge 2.53-2.67
V  0.8372  0.6628  0.0000  2 P 2.40, 6 Ge 2.53-2.67
V  0.6628  0.1628  0.0000  2 P 2.40, 6 Ge 2.53-2.67
V  0.1628  0.3372  0.0000  2 P 2.40, 6 Ge 2.53-2.67

Computed properties:
The uncorrected energy comes out at -67.379 eV/cell. As for the energy of formation from the pure elements: -0.81 eV per formula unit. Its density of states at the Fermi level is 0.727 states/eV/atom.



# 2
VASP calculation (PBE-GGA) on crystalline LiTeOs2 at its relaxed geometry.

a = 5.8800 Å, b = 5.8800 Å, c = 5.8800 Å
α = 150.38°, β = 137.70°, γ = 52.49°
Closest atoms and distances in Å follow each position.
Fractional coordinates of all 4 atoms:
Li  0.2500  0.7500  0.5000  4 Te 2.60
Os  0.9657  0.9657  0.0000  6 Os 2.70-3.01, 2 Te 2.73
Os  0.5343  0.5343  0.0000  6 Os 2.70-3.01, 2 Te 2.73
Te  0.7500  0.2500  0.5000  4 Li 2.60, 4 Os 2.73

Computed properties:
The uncorrected energy comes out at -25.365 eV/cell. The calculation puts the raw formation energy at 0.5374 eV per atom. Its density of states at the Fermi level is 0.744 states/eV/atom.



# 3
VASP calculation (PBE-GGA) on crystalline Al3OsBr at its relaxed geometry.

a = 4.8418 Å, b = 4.8418 Å, c = 4.8418 Å
α = 90.00°, β = 90.00°, γ = 90.00°
Closest atoms and distances in Å follow each position.
Fractional coordinates of all 5 atoms:
Os  0.0000  0.0000  0.0000  6 Al 2.42
Al  0.0000  0.5000  0.0000  2 Os 2.42
Al  0.0000  0.0000  0.5000  2 Os 2.42
Al  0.5000  0.0000  0.0000  2 Os 2.42
Br  0.5000  0.5000  0.5000  12 Al 3.42

Computed properties:
The uncorrected energy comes out at -24.328 eV/cell. The calculation puts the raw formation energy at -0.0395 eV per atom. Its density of states at the Fermi level is 0.383 states/eV/atom.



# 4
VASP calculation (PBE-GGA) on crystalline CuHg4Br2 at its relaxed geometry.

a = 5.2297 Å, b = 5.2297 Å, c = 8.7451 Å
α = 72.60°, β = 72.60°, γ = 90.00°
Closest atoms and distances in Å follow each position.
Fractional coordinates of all 7 atoms:
Cu  0.0000  0.0000  0.0000  6 Hg 2.50-2.61
Hg  0.8420  0.8420  0.3160  1 Cu 2.50, 1 Br 2.63
Hg  0.1580  0.1580  0.6840  1 Cu 2.50, 1 Br 2.63
Hg  0.0000  0.5000  0.0000  2 Cu 2.61
Hg  0.5000  0.0000  0.0000  2 Cu 2.61
Br  0.6759  0.6759  0.6482  1 Hg 2.63
Br  0.3241  0.3241  0.3518  1 Hg 2.63

Computed properties:
The uncorrected energy comes out at -9.743 eV/cell. The calculation puts the raw formation energy at -0.1563 eV per atom. Its density of states at the Fermi level is 0.328 states/eV/atom.